## Si2MoSe (PBE)

Data for an optimized crystal structure of Si2MoSe.

## Properties
Calculated total energy = -5.817 eV/atom
Theoretical density = 6.096 g/cm3
E_form (uncorrected) = 10.9 kcal/mol of atoms

abc: 3.1603 4.1222 4.8314
angles: 90.00 90.00 90.00
Space group Pmmm (No. 47)
Inequivalent atoms, fractional coordinates:
Si (0.0000, 0.0000, 0.0000) (multiplicity 1)
Si (0.5000, 0.5000, 0.0000) (multiplicity 1)
Mo (0.0000, 0.5000, 0.5000) (multiplicity 1)
Se (0.5000, 0.0000, 0.5000) (multiplicity 1)